1.
Entry from the Alexandria database: La2OsPt after structural relaxation (PBE-GGA).

Calculated values
Energy of formation from the pure elements = -0.502 eV per atom
Calculated volume = 94 Å³ per cell
E_tot = -0.535 Ry/atom
Symmetry = Pmmm, No. 47

Unit cell a=3.5519 b=3.5797 c=8.2245 alpha=64.19 beta=90.00 gamma=90.00
Last column: nearest neighbours and their distance in Å.
Fractional coordinates of all 4 atoms:
1 La 0.0000 0.9921 0.0083  4 Os 3.09, 4 Pt 3.16-3.17
2 La 0.0000 0.5079 0.4917  4 Os 3.09, 4 Pt 3.16-3.17
3 Os 0.5000 0.2500 0.2500  8 La 3.09
4 Pt 0.5000 0.7500 0.7500  8 La 3.16-3.17

2.
Entry from the Alexandria database: Pr8Tl2Pt3 after structural relaxation (PBE-GGA).

Calculated values
Energy of formation from the pure elements = -0.498 eV per atom
Calculated volume = 443 Å³ per cell
E_tot = -0.382 Ry/atom
Symmetry = C2/m, No. 12

Unit cell a=7.2086 b=7.6881 c=9.3051 alpha=114.40 beta=107.57 gamma=90.00
Last column: nearest neighbours and their distance in Å.
Fractional coordinates of all 13 atoms:
1 Pr 0.0171 0.6600 0.3200  2 Pt 3.05, 1 Tl 3.29
2 Pr 0.9829 0.3400 0.6800  2 Pt 3.05, 1 Tl 3.29
3 Pr 0.9128 0.0901 0.1803  3 Pt 2.86-3.01
4 Pr 0.0872 0.9099 0.8197  3 Pt 2.86-3.01
5 Pr 0.5945 0.6395 0.7922  2 Pt 2.87-2.90
6 Pr 0.5945 0.1528 0.7922  2 Pt 2.87-2.90
7 Pr 0.4055 0.8472 0.2078  2 Pt 2.87-2.90
8 Pr 0.4055 0.3605 0.2078  2 Pt 2.87-2.90
9 Tl 0.3198 0.2483 0.4965  6 Pr 3.23-3.36
10 Tl 0.6802 0.7517 0.5035  6 Pr 3.23-3.36
11 Pt 0.5000 0.0000 0.0000  6 Pr 2.86-2.87
12 Pt 0.0000 0.3099 0.0000  6 Pr 2.90-3.05, 1 Pt 2.92
13 Pt 0.0000 0.6901 0.0000  6 Pr 2.90-3.05, 1 Pt 2.92

3.
Entry from the Alexandria database: Li2PmAs2Pt2 after structural relaxation (PBE-GGA).

Calculated values
Energy of formation from the pure elements = -0.922 eV per atom
Calculated volume = 125 Å³ per cell
E_tot = -0.382 Ry/atom
Symmetry = R-3m, No. 166

Unit cell a=4.2833 b=4.2833 c=8.2319 alpha=74.92 beta=74.92 gamma=60.00
Last column: nearest neighbours and their distance in Å.
Fractional coordinates of all 7 atoms:
1 Li 0.1417 0.1417 0.5749  4 As 2.62-2.86, 3 Pt 2.73, 3 Li 2.74
2 Li 0.8583 0.8583 0.4251  4 As 2.62-2.86, 3 Pt 2.73, 3 Li 2.74
3 Pm 0.0000 0.0000 0.0000  6 As 3.12, 6 Pt 3.30, 2 Li 3.34
4 As 0.7471 0.7471 0.7586  3 Pt 2.49, 1 Li 2.62
5 As 0.2529 0.2529 0.2414  3 Pt 2.49, 1 Li 2.62
6 Pt 0.5738 0.5738 0.2787  3 As 2.49, 3 Li 2.73
7 Pt 0.4262 0.4262 0.7213  3 As 2.49, 3 Li 2.73

The highest calculated volume belongs to which entry?
Pr8Tl2Pt3